DFT (PBE) results for a geometry-optimized Sr2HgRu structure.

Formation energy from the elements (eV/f.u.): 1.40

Cell: 8.4802 8.4802 6.2766 Å, 90.00 90.00 90.00°
With the nearest neighbours (Å) after each atom.
Space group I-42d (No. 122)
Unique sites:
1 Sr 0.2018 0.7500 0.1250 [8 per cell]  2 Ru 2.84
2 Hg 0.0000 0.0000 0.5000 [4 per cell]  2 Ru 3.14, 4 Sr 3.39
3 Ru 0.0000 0.0000 0.0000 [4 per cell]  4 Sr 2.84, 2 Hg 3.14

DFT (PBE) results for a geometry-optimized Dy3Zn7Ag2 structure.

Formation energy from the elements (eV/f.u.): -3.45

Cell: 5.4535 5.4535 26.3883 Å, 90.00 90.00 120.00°
With the nearest neighbours (Å) after each atom.
Space group R-3m (No. 166, hexagonal axes)
Unique sites:
1 Dy 0.0000 0.0000 0.0000 [3 per cell]  6 Ag 3.15
2 Dy 0.0000 0.0000 0.1416 [6 per cell]  12 Zn 3.11-3.22, 3 Dy 3.42
3 Zn 0.0000 0.0000 0.5000 [3 per cell]  6 Zn 2.69
4 Zn 0.0063 0.5031 0.9150 [18 per cell]  5 Zn 2.68-2.78, 2 Ag 2.73-2.75
5 Ag 0.0000 0.0000 0.3348 [6 per cell]  6 Zn 2.73-2.75

DFT (PBE) results for a geometry-optimized AgAsBr2 structure.

Uncorrected formation energy (eV per atom): 0.199

Cell: 3.6827 6.4905 8.6176 Å, 90.00 90.00 90.00°
With the nearest neighbours (Å) after each atom.
Space group Immm (No. 71)
Unique sites:
1 Ag 0.0000 0.0000 0.0000 [2 per cell]  4 Br 2.94
2 As 0.0000 0.0000 0.5000 [2 per cell]  4 Br 2.73
3 Br 0.0000 0.5000 0.2336 [4 per cell]  2 As 2.73, 2 Ag 2.94

DFT (PBE) results for a geometry-optimized NdY2Mg2 structure.

Formation energy from the elements (eV/f.u.): -0.41

Cell: 3.7870 5.5186 14.1452 Å, 90.00 97.71 90.00°
With the nearest neighbours (Å) after each atom.
Space group P2_1/m (No. 11)
Unique sites:
1 Nd 0.1507 0.2500 0.2997 [2 per cell]  6 Mg 3.36-3.37, 4 Y 3.69-3.70
2 Y 0.0456 0.7500 0.0906 [2 per cell]  8 Mg 3.27-3.35
3 Y 0.2368 0.7500 0.4740 [2 per cell]  2 Mg 3.30-3.31, 4 Y 3.42-3.43, 4 Nd 3.69-3.70
4 Mg 0.3594 0.2500 0.7194 [2 per cell]  4 Y 3.27-3.31, 4 Nd 3.36
5 Mg 0.4498 0.7500 0.8989 [2 per cell]  6 Y 3.29-3.35, 2 Nd 3.36-3.37

DFT (PBE) results for a geometry-optimized HfInCoAg structure.

Formation energy from the elements (eV/f.u.): -0.19

Cell: 6.5296 6.5296 6.5296 Å, 90.00 90.00 90.00°
With the nearest neighbours (Å) after each atom.
Space group F-43m (No. 216)
Unique sites:
1 Hf 0.0000 0.0000 0.0000 [4 per cell]  4 Co 2.83, 4 Ag 2.83
2 In 0.0000 0.0000 0.5000 [4 per cell]  4 Ag 2.83, 4 Co 2.83
3 Co 0.2500 0.2500 0.7500 [4 per cell]  4 In 2.83, 4 Hf 2.83
4 Ag 0.2500 0.2500 0.2500 [4 per cell]  4 Hf 2.83, 4 In 2.83

DFT (PBE) results for a geometry-optimized MgRe2Pt structure.

Formation energy from the elements (eV/f.u.): -0.29

Cell: 2.8431 2.8431 7.7709 Å, 90.00 90.00 90.00°
With the nearest neighbours (Å) after each atom.
Space group P4mm (No. 99)
Unique sites:
1 Mg 0.0000 0.0000 0.0000 [1 per cell]  4 Pt 2.78, 4 Mg 2.84, 4 Re 2.93
2 Re 0.0000 0.0000 0.5041 [1 per cell]  8 Re 2.65-2.84, 4 Pt 2.83
3 Re 0.5000 0.5000 0.7257 [1 per cell]  8 Re 2.65-2.84, 4 Mg 2.93
4 Pt 0.5000 0.5000 0.2478 [1 per cell]  4 Mg 2.78, 4 Re 2.83, 4 Pt 2.84

Here are the calculated VASP energy numbers, same order: -2.885; -2.657; -2.513; -4.259; -5.710; -8.206 (eV per atom).